Record 1
Density functional theory data (GGA-PBEsol) for crystalline MgReS3 at its relaxed geometry.

Lattice parameters (Å, degrees): 4.6277 4.6277 4.6277 90.00 90.00 90.00
Positions (direct):
Mg 0.0000 0.0000 0.0000
Re 0.5000 0.5000 0.5000
S 0.0000 0.5000 0.5000
S 0.5000 0.0000 0.5000
S 0.5000 0.5000 0.0000

SG: Pm-3m, No. 221
Raw total energy (eV per cell): -28.13
E_form (uncorrected) (eV/atom): 0.015
Crystal system: cubic
M_tot (μB/cell): 0.0

Record 2
Density functional theory data (GGA-PBEsol) for crystalline Mg14MnCuO16 at its relaxed geometry.

Lattice parameters (Å, degrees): 4.2101 8.4533 8.4860 90.00 90.00 90.00
Positions (direct):
Mg 0.0000 0.0000 0.0000
Mg 0.0000 0.2473 0.2499
Mg 0.0000 0.2473 0.7501
Mg 0.0000 0.5000 0.0000
Mg 0.0000 0.7527 0.2499
Mg 0.0000 0.7527 0.7501
Mg 0.5000 0.0000 0.2525
Mg 0.5000 0.0000 0.7475
Mg 0.5000 0.2454 0.5000
Mg 0.5000 0.2486 0.0000
Mg 0.5000 0.5000 0.2478
Mg 0.5000 0.5000 0.7522
Mg 0.5000 0.7514 0.0000
Mg 0.5000 0.7546 0.5000
Mn 0.0000 0.5000 0.5000
Cu 0.0000 0.0000 0.5000
O 0.0000 0.0000 0.2435
O 0.0000 0.0000 0.7565
O 0.0000 0.2509 0.0000
O 0.0000 0.2678 0.5000
O 0.0000 0.5000 0.2463
O 0.0000 0.5000 0.7537
O 0.0000 0.7322 0.5000
O 0.0000 0.7491 0.0000
O 0.5000 0.0000 0.0000
O 0.5000 0.0000 0.5000
O 0.5000 0.2504 0.2516
O 0.5000 0.2504 0.7484
O 0.5000 0.5000 0.0000
O 0.5000 0.5000 0.5000
O 0.5000 0.7496 0.2516
O 0.5000 0.7496 0.7484

SG: Pmmm, No. 47
Raw total energy (eV per cell): -202.61
E_form (uncorrected) (eV/atom): -2.515
Crystal system: orthorhombic
M_tot (μB/cell): 4.0

Record 3
Density functional theory data (GGA-PBEsol) for crystalline MnCuIr at its relaxed geometry.

Lattice parameters (Å, degrees): 4.4625 4.4625 4.4625 145.46 132.58 59.97
Positions (direct):
Mn 0.0000 0.0000 0.0000
Cu 0.6675 0.6675 0.0000
Ir 0.3385 0.3385 0.0000

Energy of formation from the pure elements (eV/atom): 0.0519
SG: Imm2, No. 44
Raw total energy (eV per cell): -23.76
Crystal system: orthorhombic
M_tot (μB/cell): 1.8

Record 4
Density functional theory data (GGA-PBEsol) for crystalline MgTl2Cd at its relaxed geometry.

Lattice parameters (Å, degrees): 6.1883 6.1883 3.3626 104.84 104.84 116.66
Positions (direct):
Mg 0.0000 0.0000 0.0000
Tl 0.0000 0.5000 0.5000
Tl 0.5000 0.0000 0.5000
Cd 0.5000 0.5000 0.0000

Energy of formation from the pure elements (eV/atom): 0.0203
SG: C2/m, No. 12
Raw total energy (eV per cell): -8.09
Crystal system: monoclinic
M_tot (μB/cell): 0.0

Record 5
Density functional theory data (GGA-PBEsol) for crystalline Ge3OsRu at its relaxed geometry.

Lattice parameters (Å, degrees): 4.6835 4.6835 4.6835 90.00 90.00 90.00
Positions (direct):
Ge 0.0000 0.0000 0.5000
Ge 0.0000 0.5000 0.0000
Ge 0.5000 0.0000 0.0000
Os 0.0000 0.0000 0.0000
Ru 0.5000 0.5000 0.5000

Energy of formation from the pure elements (eV/atom): 1.1346
SG: Pm-3m, No. 221
Raw total energy (eV per cell): -31.53
Crystal system: cubic
M_tot (μB/cell): 1.9

Record 6
Density functional theory data (GGA-PBEsol) for crystalline Ta2Cr3Si at its relaxed geometry.

Lattice parameters (Å, degrees): 4.8069 4.8069 8.0117 90.00 90.00 120.00
Positions (direct):
Ta 0.3333 0.6667 0.0649
Ta 0.3333 0.6667 0.4351
Ta 0.6667 0.3333 0.5649
Ta 0.6667 0.3333 0.9351
Cr 0.1720 0.3440 0.7500
Cr 0.1720 0.8280 0.7500
Cr 0.3440 0.1720 0.2500
Cr 0.6560 0.8280 0.7500
Cr 0.8280 0.1720 0.2500
Cr 0.8280 0.6560 0.2500
Si 0.0000 0.0000 0.0000
Si 0.0000 0.0000 0.5000

SG: P6_3/mmc, No. 194
Raw total energy (eV per cell): -128.09
E_form (uncorrected) (eV/atom): -0.412
Crystal system: hexagonal
M_tot (μB/cell): 0.0

Record 7
Density functional theory data (GGA-PBEsol) for crystalline CaSc2Ta at its relaxed geometry.

Lattice parameters (Å, degrees): 3.2103 5.2303 5.4898 90.00 90.00 90.00
Positions (direct):
Ca 0.0000 0.0000 0.0000
Sc 0.0000 0.5000 0.5000
Sc 0.5000 0.5000 0.0000
Ta 0.5000 0.0000 0.5000

Energy of formation from the pure elements (eV/atom): 0.6017
SG: Pmmm, No. 47
Raw total energy (eV per cell): -25.49
Crystal system: orthorhombic
M_tot (μB/cell): 0.0

Record 8
Density functional theory data (GGA-PBEsol) for crystalline TaBe2NbGa at its relaxed geometry.

Lattice parameters (Å, degrees): 4.2070 4.2070 4.6545 90.00 90.00 90.00
Positions (direct):
Ta 0.0000 0.0000 0.0000
Be 0.0000 0.5000 0.5000
Be 0.5000 0.0000 0.5000
Nb 0.5000 0.5000 0.5000
Ga 0.5000 0.5000 0.0000

Energy of formation from the pure elements (eV/atom): 1.3649
SG: P4/mmm, No. 123
Raw total energy (eV per cell): -27.89
Crystal system: tetragonal
M_tot (μB/cell): 0.0

Record 9
Density functional theory data (GGA-PBEsol) for crystalline Zn2CrSi at its relaxed geometry.

Lattice parameters (Å, degrees): 3.0228 3.5808 4.9697 90.00 90.00 90.00
Positions (direct):
Zn 0.0000 0.0000 0.2453
Zn 0.0000 0.0000 0.7547
Cr 0.5000 0.5000 0.0000
Si 0.5000 0.5000 0.5000

SG: Pmmm, No. 47
Raw total energy (eV per cell): -18.42
E_form (uncorrected) (eV/atom): 0.182
Crystal system: orthorhombic
M_tot (μB/cell): 2.1

Record 10
Density functional theory data (GGA-PBEsol) for crystalline CrAsRu at its relaxed geometry.

Lattice parameters (Å, degrees): 5.8997 3.9241 7.2316 90.00 90.00 90.00
Positions (direct):
Cr 0.0344 0.2500 0.1920
Cr 0.4656 0.7500 0.6920
Cr 0.5344 0.2500 0.3080
Cr 0.9656 0.7500 0.8080
As 0.2475 0.2500 0.8828
As 0.2525 0.7500 0.3828
As 0.7475 0.2500 0.6172
As 0.7525 0.7500 0.1172
Ru 0.1580 0.2500 0.5605
Ru 0.3420 0.7500 0.0605
Ru 0.6580 0.2500 0.9395
Ru 0.8420 0.7500 0.4395

Energy of formation from the pure elements (eV/atom): -0.0702
SG: Pnma, No. 62
Raw total energy (eV per cell): -102.93
Crystal system: orthorhombic
M_tot (μB/cell): 10.6

Record 11
Density functional theory data (GGA-PBEsol) for crystalline CdInRe at its relaxed geometry.

Lattice parameters (Å, degrees): 7.0584 7.0584 7.0584 156.57 156.57 33.37
Positions (direct):
Cd 0.0000 0.0000 0.0000
In 0.6907 0.6907 0.0000
Re 0.3457 0.3457 0.0000

Energy of formation from the pure elements (eV/atom): 0.6631
SG: I4mm, No. 107
Raw total energy (eV per cell): -15.52
Crystal system: tetragonal
M_tot (μB/cell): 0.0

Record 12
Density functional theory data (GGA-PBEsol) for crystalline SbAs4Cl at its relaxed geometry.

Lattice parameters (Å, degrees): 5.6969 5.6969 5.6969 60.00 60.00 60.00
Positions (direct):
Sb 0.0000 0.0000 0.0000
As 0.1669 0.6110 0.6110
As 0.6110 0.1669 0.6110
As 0.6110 0.6110 0.1669
As 0.6110 0.6110 0.6110
Cl 0.2500 0.2500 0.2500

SG: F-43m, No. 216
Raw total energy (eV per cell): -25.36
E_form (uncorrected) (eV/atom): 0.273
Crystal system: cubic
M_tot (μB/cell): 0.0

Please write out number 11 again, unchanged.
Density functional theory data (GGA-PBEsol) for crystalline CdInRe at its relaxed geometry.

Lattice parameters (Å, degrees): 7.0584 7.0584 7.0584 156.57 156.57 33.37
Positions (direct):
Cd 0.0000 0.0000 0.0000
In 0.6907 0.6907 0.0000
Re 0.3457 0.3457 0.0000

Energy of formation from the pure elements (eV/atom): 0.6631
SG: I4mm, No. 107
Raw total energy (eV per cell): -15.52
Crystal system: tetragonal
M_tot (μB/cell): 0.0

Which of these has the highest raw total energy? MgTl2Cd

The highest M_tot belongs to which entry? CrAsRu

Which value of M_tot does entry 10 give? 10.6 μB/cell